Crystalline Tb2NdEr7 at its relaxed geometry, computed with PBE.

a = 3.597 Å, b = 11.504 Å, c = 16.521 Å
α = 90.00°, β = 90.00°, γ = 90.00°
Space group Immm (No. 71)
Inequivalent atoms, fractional coordinates:
Tb: 0.000 0.000 0.174 [4 per cell]
Nd: 0.000 0.500 0.500 [2 per cell]
Er: 0.000 0.000 0.500 [2 per cell]
Er: 0.000 0.248 0.344 [8 per cell]
Er: 0.000 0.500 0.166 [4 per cell]

Calculated values
**Excess energy over the best structure of this formula in the dataset**: 0.000 eV/f.u.
**Formation energy from the elements**: 0.3167 eV per atom
**Fermi-level density of states**: 15.59 states/eV/f.u.